# TiFeO3, relaxed, DFT PBE+U
data_TiFeO3
_cell_length_a 5.234
_cell_length_b 5.290
_cell_length_c 7.539
_cell_angle_alpha 90.00
_cell_angle_beta 90.00
_cell_angle_gamma 90.00
_symmetry_space_group_name_H-M 'P 1'
_symmetry_Int_Tables_number 1
loop_
_symmetry_equiv_pos_as_xyz
'x,y,z'
loop_
_atom_site_label
_atom_site_type_symbol
_atom_site_fract_x
_atom_site_fract_y
_atom_site_fract_z
_atom_site_occupancy
Ti1 Ti 0.500 0.000 0.000 1
Ti2 Ti 0.000 0.500 0.000 1
Ti3 Ti 0.000 0.500 0.500 1
Ti4 Ti 0.500 0.000 0.500 1
Fe1 Fe 0.508 0.461 0.750 1
Fe2 Fe 0.008 0.039 0.250 1
Fe3 Fe 0.992 0.961 0.750 1
Fe4 Fe 0.492 0.539 0.250 1
O1 O 0.105 0.444 0.250 1
O2 O 0.605 0.056 0.750 1
O3 O 0.395 0.944 0.250 1
O4 O 0.895 0.556 0.750 1
O5 O 0.823 0.818 0.444 1
O6 O 0.177 0.182 0.556 1
O7 O 0.823 0.818 0.056 1
O8 O 0.323 0.682 0.944 1
O9 O 0.323 0.682 0.556 1
O10 O 0.677 0.318 0.056 1
O11 O 0.177 0.182 0.944 1
O12 O 0.677 0.318 0.444 1
# E_tot   -8.0150 eV/atom
# Theoretical density   4.83 Mg/m³
# N(E_F)   0.0 states/eV per cell
# Space group   No. 62